# 1
The following is a DFT calculation (PBEsol) of CaZnP2O after structural relaxation.

Output
- Energy relative to the lowest polymorph listed for this composition: 793 meV per atom
- Uncorrected formation energy: 0.66 eV/atom
- Crystal system: tetragonal
- Total magnetization: 0.015 Bohr magnetons per cell
- Electronic total energy: -3.45 eV per atom

Geometry as CIF:
```
data_CaZnP2O
_space_group_name_H-M_alt 'P 4/m m m'
_space_group_IT_number 123
_space_group_name_Hall '-P 4 2'
_cell_length_a 5.232
_cell_length_b 5.232
_cell_length_c 4.055
_cell_angle_alpha 90.00
_cell_angle_beta 90.00
_cell_angle_gamma 90.00
loop_
_atom_site_label
_atom_site_type_symbol
_atom_site_fract_x
_atom_site_fract_y
_atom_site_fract_z
Ca1 Ca 0.000 0.000 0.000
Zn1 Zn 0.500 0.500 0.500
P1 P 0.000 0.500 0.000
O1 O 0.000 0.000 0.500
```

# 2
The following is a DFT calculation (PBEsol) of CaZn2P2O8 after structural relaxation.

Output
- Uncorrected formation energy: -2.29 eV/atom
- Crystal system: triclinic
- Total magnetization: 0.000 Bohr magnetons per cell
- Electronic total energy: -6.82 eV per atom

Geometry as CIF:
```
data_CaZn2P2O8
_space_group_name_H-M_alt 'P -1'
_space_group_IT_number 2
_cell_length_a 4.971
_cell_length_b 8.411
_cell_length_c 8.943
_cell_angle_alpha 113.66
_cell_angle_beta 102.37
_cell_angle_gamma 94.20
loop_
_space_group_symop_operation_xyz
'x,y,z'
'-x,-y,-z'
loop_
_atom_site_label
_atom_site_type_symbol
_atom_site_fract_x
_atom_site_fract_y
_atom_site_fract_z
Ca1 Ca 0.224 0.232 0.055
Zn1 Zn 0.161 0.420 0.716
Zn2 Zn 0.378 0.109 0.411
P1 P 0.109 0.780 0.694
P2 P 0.316 0.707 0.178
O1 O 0.007 0.331 0.855
O2 O 0.010 0.385 0.290
O3 O 0.037 0.941 0.831
O4 O 0.060 0.226 0.480
O5 O 0.385 0.755 0.043
O6 O 0.425 0.788 0.704
O7 O 0.435 0.867 0.357
O8 O 0.437 0.548 0.195
```

# 3
The following is a DFT calculation (PBEsol) of CaZr4P6O24 after structural relaxation.

Output
- Uncorrected formation energy: -2.82 eV/atom
- Crystal system: trigonal
- Total magnetization: 0.000 Bohr magnetons per cell
- Electronic total energy: -8.51 eV per atom

Geometry as CIF:
```
data_CaZr4P6O24
_space_group_name_H-M_alt 'R -3'
_space_group_IT_number 148
_space_group_name_Hall '-R 3'
_cell_length_a 8.8735
_cell_length_b 8.8735
_cell_length_c 22.5438
_cell_angle_alpha 90.00
_cell_angle_beta 90.00
_cell_angle_gamma 120.00
loop_
_atom_site_label
_atom_site_type_symbol
_atom_site_fract_x
_atom_site_fract_y
_atom_site_fract_z
Ca1 Ca 0.0000 0.0000 0.0000
Zr1 Zr 0.0000 0.0000 0.1482
Zr2 Zr 0.0000 0.0000 0.3620
P1 P 0.0109 0.2928 0.7469
O1 O 0.0082 0.1954 0.8040
O2 O 0.0182 0.8341 0.9175
O3 O 0.0351 0.2100 0.4106
O4 O 0.0365 0.2056 0.6924
```

# 4
The following is a DFT calculation (PBEsol) of CaZrPO2 after structural relaxation.

Output
- Uncorrected formation energy: -2.00 eV/atom
- Crystal system: tetragonal
- Total magnetization: 0.007 Bohr magnetons per cell
- Electronic total energy: -7.51 eV per atom

Geometry as CIF:
```
data_CaZrPO2
_space_group_name_H-M_alt 'P 4/m m m'
_space_group_IT_number 123
_space_group_name_Hall '-P 4 2'
_cell_length_a 4.098
_cell_length_b 4.098
_cell_length_c 5.229
_cell_angle_alpha 90.00
_cell_angle_beta 90.00
_cell_angle_gamma 90.00
loop_
_atom_site_label
_atom_site_type_symbol
_atom_site_fract_x
_atom_site_fract_y
_atom_site_fract_z
Ca1 Ca 0.000 0.000 0.000
Zr1 Zr 0.500 0.500 0.500
P1 P 0.500 0.500 0.000
O1 O 0.000 0.500 0.500
```

# 5
The following is a DFT calculation (PBEsol) of Ca3PbO after structural relaxation.

Output
- Uncorrected formation energy: -1.62 eV/atom
- Crystal system: cubic
- Total magnetization: 0.000 Bohr magnetons per cell
- Electronic total energy: -4.75 eV per atom

Geometry as CIF:
```
data_Ca3PbO
_space_group_name_H-M_alt 'P m -3 m'
_space_group_IT_number 221
_space_group_name_Hall '-P 4 2 3'
_cell_length_a 4.804
_cell_length_b 4.804
_cell_length_c 4.804
_cell_angle_alpha 90.00
_cell_angle_beta 90.00
_cell_angle_gamma 90.00
loop_
_atom_site_label
_atom_site_type_symbol
_atom_site_fract_x
_atom_site_fract_y
_atom_site_fract_z
Ca1 Ca 0.000 0.000 0.500
Pb1 Pb 0.500 0.500 0.500
O1 O 0.000 0.000 0.000
```

# 6
The following is a DFT calculation (PBEsol) of Ca2Si3Pb3O11 after structural relaxation.

Output
- Uncorrected formation energy: -2.43 eV/atom
- Crystal system: hexagonal
- Total magnetization: 0.000 Bohr magnetons per cell
- Electronic total energy: -7.23 eV per atom

Geometry as CIF:
```
data_Ca2Si3Pb3O11
_space_group_name_H-M_alt 'P -6'
_space_group_IT_number 174
_cell_length_a 9.8566
_cell_length_b 9.8566
_cell_length_c 10.1789
_cell_angle_alpha 90.00
_cell_angle_beta 90.00
_cell_angle_gamma 120.00
loop_
_space_group_symop_operation_xyz
'x,y,z'
'-x+y,-x,-z'
'-y,x-y,z'
'x,y,-z'
'-x+y,-x,z'
'-y,x-y,-z'
loop_
_atom_site_label
_atom_site_type_symbol
_atom_site_fract_x
_atom_site_fract_y
_atom_site_fract_z
Ca1 Ca 0.0000 0.0000 0.0000
Ca2 Ca 0.0000 0.0000 0.3258
Ca3 Ca 0.6667 0.3333 0.0000
Ca4 Ca 0.6667 0.3333 0.3395
Si1 Si 0.3088 0.0508 0.5000
Si2 Si 0.3582 0.2892 0.1509
Pb1 Pb 0.0606 0.3911 0.1755
Pb2 Pb 0.0812 0.6784 0.5000
O1 O 0.0245 0.5902 0.2541
O2 O 0.0728 0.3156 0.3751
O3 O 0.1766 0.1570 0.1589
O4 O 0.2047 0.1401 0.5000
O5 O 0.4088 0.3717 0.0000
O6 O 0.4703 0.2094 0.1703
O7 O 0.4947 0.1690 0.5000
```

Calculated volume / Å³/cell: 111.00 329.21 1537.25 87.81 110.87 856.42